(1)
Entry from Alexandria via LeMat-Bulk: Pr2Dy4YMg after structural relaxation (PBE).

Lattice parameters (Å, degrees): 5.004 5.004 10.180 90.00 90.00 90.00
Fractional coordinates of all 8 atoms:
Pr1 0.000 0.000 0.000
Pr2 0.500 0.500 0.500
Dy1 0.000 0.500 0.249
Dy2 0.000 0.500 0.751
Dy3 0.500 0.000 0.249
Dy4 0.500 0.000 0.751
Y1 0.000 0.000 0.500
Mg1 0.500 0.500 0.000

Properties
Raw total energy in eV per atom: -4.4715
Crystal system: tetragonal
D(E_F) in states/eV/atom: 1.619
V in A^3/atom: 31.86

---

(2)
Entry from Alexandria via LeMat-Bulk: Pr6Dy2Y3Mg after structural relaxation (PBE).

Lattice parameters (Å, degrees): 6.290 6.290 11.863 95.09 95.09 120.04
Fractional coordinates of all 12 atoms:
Pr1 0.082 0.415 0.248
Pr2 0.250 0.250 0.751
Pr3 0.415 0.082 0.248
Pr4 0.585 0.918 0.752
Pr5 0.750 0.750 0.249
Pr6 0.918 0.585 0.752
Dy1 0.333 0.667 0.000
Dy2 0.667 0.333 0.000
Y1 0.167 0.833 0.500
Y2 0.500 0.500 0.500
Y3 0.833 0.167 0.500
Mg1 0.000 0.000 0.000

Properties
Raw total energy in eV per atom: -4.8865
Crystal system: monoclinic
D(E_F) in states/eV/atom: 1.033
V in A^3/atom: 33.32

---

(3)
Entry from Alexandria via LeMat-Bulk: PrDy2Y2Mg5 after structural relaxation (PBE).

Lattice parameters (Å, degrees): 10.667 10.667 5.139 90.00 90.00 90.00
Fractional coordinates of all 20 atoms:
Pr1 0.000 0.000 0.000
Pr2 0.500 0.500 0.000
Dy1 0.118 0.382 0.000
Dy2 0.382 0.882 0.000
Dy3 0.618 0.118 0.000
Dy4 0.882 0.618 0.000
Y1 0.178 0.678 0.000
Y2 0.322 0.178 0.000
Y3 0.678 0.822 0.000
Y4 0.822 0.322 0.000
Mg1 0.000 0.500 0.500
Mg2 0.075 0.198 0.500
Mg3 0.198 0.925 0.500
Mg4 0.302 0.425 0.500
Mg5 0.425 0.698 0.500
Mg6 0.500 0.000 0.500
Mg7 0.575 0.302 0.500
Mg8 0.698 0.575 0.500
Mg9 0.802 0.075 0.500
Mg10 0.925 0.802 0.500

Properties
Raw total energy in eV per atom: -3.4114
Crystal system: tetragonal
D(E_F) in states/eV/atom: 1.087
V in A^3/atom: 29.24

---

(4)
Entry from Alexandria via LeMat-Bulk: Pr2DyY4Mg after structural relaxation (PBE).

Lattice parameters (Å, degrees): 5.016 5.028 10.214 90.00 90.00 90.00
Fractional coordinates of all 8 atoms:
Pr1 0.000 0.000 0.000
Pr2 0.500 0.500 0.500
Dy1 0.000 0.000 0.500
Y1 0.000 0.500 0.249
Y2 0.000 0.500 0.751
Y3 0.500 0.000 0.249
Y4 0.500 0.000 0.751
Mg1 0.500 0.500 0.000

Properties
Raw total energy in eV per atom: -5.1721
Crystal system: orthorhombic
D(E_F) in states/eV/atom: 1.636
V in A^3/atom: 32.20

---

(5)
Entry from Alexandria via LeMat-Bulk: Pr4DyY2Mg after structural relaxation (PBE).

Lattice parameters (Å, degrees): 5.116 5.116 10.088 90.00 90.00 90.00
Fractional coordinates of all 8 atoms:
Pr1 0.000 0.500 0.246
Pr2 0.000 0.500 0.754
Pr3 0.500 0.000 0.246
Pr4 0.500 0.000 0.754
Dy1 0.000 0.000 0.500
Y1 0.000 0.000 0.000
Y2 0.500 0.500 0.500
Mg1 0.500 0.500 0.000

Properties
Raw total energy in eV per atom: -4.7750
Crystal system: tetragonal
D(E_F) in states/eV/atom: 1.273
V in A^3/atom: 33.00

---

(6)
Entry from Alexandria via LeMat-Bulk: Pr6Dy2YMg after structural relaxation (PBE).

Lattice parameters (Å, degrees): 8.931 8.931 9.618 93.83 93.83 116.52
Fractional coordinates of all 20 atoms:
Pr1 0.002 0.434 0.803
Pr2 0.126 0.765 0.549
Pr3 0.235 0.874 0.951
Pr4 0.294 0.496 0.391
Pr5 0.434 0.002 0.303
Pr6 0.496 0.294 0.891
Pr7 0.504 0.706 0.109
Pr8 0.566 0.998 0.697
Pr9 0.706 0.504 0.609
Pr10 0.765 0.126 0.049
Pr11 0.874 0.235 0.451
Pr12 0.998 0.566 0.197
Dy1 0.198 0.301 0.052
Dy2 0.301 0.198 0.552
Dy3 0.699 0.802 0.448
Dy4 0.802 0.699 0.948
Y1 0.022 0.978 0.250
Y2 0.978 0.022 0.750
Mg1 0.411 0.589 0.750
Mg2 0.589 0.411 0.250

Properties
Raw total energy in eV per atom: -4.4813
Crystal system: monoclinic
D(E_F) in states/eV/atom: 1.420
V in A^3/atom: 34.04

---

(7)
Entry from Alexandria via LeMat-Bulk: PrDyMgZn after structural relaxation (PBE).

Lattice parameters (Å, degrees): 5.286 5.286 5.286 60.00 60.00 60.00
Fractional coordinates of all 4 atoms:
Pr1 0.000 0.000 0.000
Dy1 0.500 0.500 0.500
Mg1 0.250 0.250 0.250
Zn1 0.750 0.750 0.750

Properties
Raw total energy in eV per atom: -3.2359
E above lowest polymorph in eV/atom: 0.034
Crystal system: cubic
D(E_F) in states/eV/atom: 1.040
V in A^3/atom: 26.11

---

(8)
Entry from Alexandria via LeMat-Bulk: PrDyMgZn after structural relaxation (PBE).

Lattice parameters (Å, degrees): 3.665 3.665 7.847 90.00 90.00 90.00
Fractional coordinates of all 4 atoms:
Pr1 0.000 0.000 0.000
Dy1 0.000 0.000 0.450
Mg1 0.500 0.500 0.712
Zn1 0.500 0.500 0.246

Properties
Raw total energy in eV per atom: -3.2697
E above lowest polymorph in eV/atom: 0.000
Crystal system: tetragonal
D(E_F) in states/eV/atom: 1.106
V in A^3/atom: 26.35

---

(9)
Entry from Alexandria via LeMat-Bulk: PrDyMgZr after structural relaxation (PBE).

Lattice parameters (Å, degrees): 5.416 5.416 5.416 60.00 60.00 60.00
Fractional coordinates of all 4 atoms:
Pr1 0.000 0.000 0.000
Dy1 0.500 0.500 0.500
Mg1 0.750 0.750 0.750
Zr1 0.250 0.250 0.250

Properties
Raw total energy in eV per atom: -4.7458
Crystal system: cubic
D(E_F) in states/eV/atom: 1.218
V in A^3/atom: 28.09

---

(10)
Entry from Alexandria via LeMat-Bulk: Dy2MgPt after structural relaxation (PBE).

Lattice parameters (Å, degrees): 5.083 5.083 5.083 60.00 60.00 60.00
Fractional coordinates of all 4 atoms:
Dy1 0.250 0.250 0.250
Dy2 0.750 0.750 0.750
Mg1 0.000 0.000 0.000
Pt1 0.500 0.500 0.500

Properties
Raw total energy in eV per atom: -4.8089
E above lowest polymorph in eV/atom: 0.073
Crystal system: cubic
D(E_F) in states/eV/atom: 0.632
V in A^3/atom: 23.21

---

(11)
Entry from Alexandria via LeMat-Bulk: Dy2Mg3Pt4 after structural relaxation (PBE).

Lattice parameters (Å, degrees): 7.301 7.279 7.133 90.00 110.21 90.00
Fractional coordinates of all 18 atoms:
Dy1 0.191 0.174 0.055
Dy2 0.191 0.326 0.555
Dy3 0.809 0.674 0.445
Dy4 0.809 0.826 0.945
Mg1 0.254 0.669 0.246
Mg2 0.254 0.831 0.746
Mg3 0.500 0.000 0.500
Mg4 0.500 0.500 0.000
Mg5 0.746 0.169 0.254
Mg6 0.746 0.331 0.754
Pt1 0.075 0.538 0.844
Pt2 0.075 0.962 0.344
Pt3 0.487 0.137 0.863
Pt4 0.487 0.363 0.363
Pt5 0.513 0.637 0.637
Pt6 0.513 0.863 0.137
Pt7 0.925 0.038 0.656
Pt8 0.925 0.462 0.156

Properties
Raw total energy in eV per atom: -5.2350
Crystal system: monoclinic
D(E_F) in states/eV/atom: 0.358
V in A^3/atom: 19.76

---

(12)
Entry from Alexandria via LeMat-Bulk: DyMg3Pt after structural relaxation (PBE).

Lattice parameters (Å, degrees): 5.454 5.803 7.408 90.00 107.48 90.00
Fractional coordinates of all 10 atoms:
Dy1 0.111 0.250 0.398
Dy2 0.889 0.750 0.602
Mg1 0.026 0.250 0.899
Mg2 0.493 0.501 0.794
Mg3 0.493 0.999 0.794
Mg4 0.507 0.001 0.206
Mg5 0.507 0.499 0.206
Mg6 0.974 0.750 0.101
Pt1 0.319 0.750 0.463
Pt2 0.681 0.250 0.537

Properties
Raw total energy in eV per atom: -3.6325
Crystal system: monoclinic
D(E_F) in states/eV/atom: 0.471
V in A^3/atom: 22.37

---

(13)
Entry from Alexandria via LeMat-Bulk: DyMg5Pt2 after structural relaxation (PBE).

Lattice parameters (Å, degrees): 6.764 6.764 6.764 144.50 104.10 86.69
Fractional coordinates of all 8 atoms:
Dy1 0.000 0.000 0.000
Mg1 0.155 0.338 0.817
Mg2 0.479 0.662 0.817
Mg3 0.500 0.000 0.500
Mg4 0.521 0.338 0.183
Mg5 0.845 0.662 0.183
Pt1 0.223 0.723 0.500
Pt2 0.777 0.277 0.500

Properties
Raw total energy in eV per atom: -3.7021
Crystal system: orthorhombic
D(E_F) in states/eV/atom: 0.441
V in A^3/atom: 21.10

---

(14)
Entry from Alexandria via LeMat-Bulk: Dy4Mg3Pt after structural relaxation (PBE).

Lattice parameters (Å, degrees): 3.677 3.677 15.009 90.00 90.00 90.00
Fractional coordinates of all 8 atoms:
Dy1 0.000 0.000 0.106
Dy2 0.000 0.000 0.369
Dy3 0.000 0.000 0.631
Dy4 0.000 0.000 0.894
Mg1 0.500 0.500 0.241
Mg2 0.500 0.500 0.500
Mg3 0.500 0.500 0.759
Pt1 0.500 0.500 0.000

Properties
Raw total energy in eV per atom: -4.0297
Crystal system: tetragonal
D(E_F) in states/eV/atom: 1.040
V in A^3/atom: 25.37

---

(15)
Entry from Alexandria via LeMat-Bulk: DyMg2Pt2 after structural relaxation (PBE).

Lattice parameters (Å, degrees): 5.092 4.736 8.446 90.00 101.40 90.00
Fractional coordinates of all 10 atoms:
Dy1 0.170 0.250 0.288
Dy2 0.830 0.750 0.712
Mg1 0.294 0.250 0.665
Mg2 0.360 0.750 0.967
Mg3 0.640 0.250 0.033
Mg4 0.706 0.750 0.335
Pt1 0.105 0.250 0.929
Pt2 0.286 0.750 0.503
Pt3 0.714 0.250 0.497
Pt4 0.895 0.750 0.071

Properties
Raw total energy in eV per atom: -4.8463
E above lowest polymorph in eV/atom: 0.000
Crystal system: monoclinic
D(E_F) in states/eV/atom: 0.315
V in A^3/atom: 19.97

---

(16)
Entry from Alexandria via LeMat-Bulk: DyMg2Pt2 after structural relaxation (PBE).

Lattice parameters (Å, degrees): 6.669 6.669 8.151 90.00 90.00 145.51
Fractional coordinates of all 10 atoms:
Dy1 0.094 0.906 0.500
Dy2 0.906 0.094 0.000
Mg1 0.180 0.820 0.112
Mg2 0.376 0.624 0.355
Mg3 0.624 0.376 0.855
Mg4 0.820 0.180 0.612
Pt1 0.267 0.733 0.819
Pt2 0.462 0.538 0.662
Pt3 0.538 0.462 0.162
Pt4 0.733 0.267 0.319

Properties
Raw total energy in eV per atom: -4.8440
E above lowest polymorph in eV/atom: 0.002
Crystal system: orthorhombic
D(E_F) in states/eV/atom: 0.523
V in A^3/atom: 20.53

---

(17)
Entry from Alexandria via LeMat-Bulk: DyMgPt2 after structural relaxation (PBE).

Lattice parameters (Å, degrees): 3.363 3.363 6.611 90.00 90.00 90.00
Fractional coordinates of all 4 atoms:
Dy1 0.000 0.000 0.000
Mg1 0.000 0.000 0.500
Pt1 0.500 0.500 0.272
Pt2 0.500 0.500 0.728

Properties
Raw total energy in eV per atom: -5.6124
Crystal system: tetragonal
D(E_F) in states/eV/atom: 0.159
V in A^3/atom: 18.70

---

(18)
Entry from Alexandria via LeMat-Bulk: DyMgPt after structural relaxation (PBE).

Lattice parameters (Å, degrees): 5.391 4.749 5.587 90.00 107.39 90.00
Fractional coordinates of all 6 atoms:
Dy1 0.206 0.250 0.399
Dy2 0.794 0.750 0.601
Mg1 0.356 0.750 0.996
Mg2 0.644 0.250 0.004
Pt1 0.090 0.250 0.853
Pt2 0.910 0.750 0.147

Properties
Raw total energy in eV per atom: -4.9087
Crystal system: monoclinic
D(E_F) in states/eV/atom: 0.476
V in A^3/atom: 22.75

---

(19)
Entry from Alexandria via LeMat-Bulk: DyMg2Pt3 after structural relaxation (PBE).

Lattice parameters (Å, degrees): 3.390 3.390 9.322 90.00 90.00 90.00
Fractional coordinates of all 6 atoms:
Dy1 0.000 0.000 0.000
Mg1 0.000 0.000 0.345
Mg2 0.000 0.000 0.655
Pt1 0.500 0.500 0.184
Pt2 0.500 0.500 0.500
Pt3 0.500 0.500 0.816

Properties
Raw total energy in eV per atom: -5.2866
Crystal system: tetragonal
D(E_F) in states/eV/atom: 0.267
V in A^3/atom: 17.86

---

(20)
Entry from Alexandria via LeMat-Bulk: DyMg11Pt after structural relaxation (PBE).

Lattice parameters (Å, degrees): 7.710 7.710 7.624 97.41 97.41 137.17
Fractional coordinates of all 13 atoms:
Dy1 0.000 0.000 0.000
Mg1 0.000 0.000 0.500
Mg2 0.000 0.500 0.000
Mg3 0.026 0.360 0.360
Mg4 0.303 0.505 0.783
Mg5 0.360 0.026 0.360
Mg6 0.495 0.697 0.217
Mg7 0.500 0.000 0.000
Mg8 0.505 0.303 0.783
Mg9 0.640 0.974 0.640
Mg10 0.697 0.495 0.217
Mg11 0.974 0.640 0.640
Pt1 0.500 0.500 0.500

Properties
Raw total energy in eV per atom: -2.3503
Crystal system: monoclinic
D(E_F) in states/eV/atom: 0.486
V in A^3/atom: 22.17

---

(21)
Entry from Alexandria via LeMat-Bulk: DyMg4Pt2 after structural relaxation (PBE).

Lattice parameters (Å, degrees): 7.979 7.979 4.480 90.00 90.00 90.00
Fractional coordinates of all 14 atoms:
Dy1 0.000 0.000 0.000
Dy2 0.500 0.500 0.500
Mg1 0.086 0.334 0.500
Mg2 0.166 0.586 0.000
Mg3 0.334 0.086 0.500
Mg4 0.414 0.834 0.000
Mg5 0.586 0.166 0.000
Mg6 0.666 0.914 0.500
Mg7 0.834 0.414 0.000
Mg8 0.914 0.666 0.500
Pt1 0.236 0.764 0.500
Pt2 0.264 0.264 0.000
Pt3 0.736 0.736 0.000
Pt4 0.764 0.236 0.500

Properties
Raw total energy in eV per atom: -3.9786
Crystal system: tetragonal
D(E_F) in states/eV/atom: 0.555
V in A^3/atom: 20.37

---

(22)
Entry from Alexandria via LeMat-Bulk: Dy2MgPt after structural relaxation (PBE).

Lattice parameters (Å, degrees): 3.624 3.624 7.324 90.00 90.00 90.00
Fractional coordinates of all 4 atoms:
Dy1 0.000 0.000 0.220
Dy2 0.000 0.000 0.780
Mg1 0.500 0.500 0.500
Pt1 0.500 0.500 0.000

Properties
Raw total energy in eV per atom: -4.8816
E above lowest polymorph in eV/atom: 0.000
Crystal system: tetragonal
D(E_F) in states/eV/atom: 0.853
V in A^3/atom: 24.05

---

(23)
Entry from Alexandria via LeMat-Bulk: DyMgPt6 after structural relaxation (PBE).

Lattice parameters (Å, degrees): 4.054 4.054 8.034 90.00 90.00 90.00
Fractional coordinates of all 8 atoms:
Dy1 0.000 0.000 0.000
Mg1 0.000 0.000 0.500
Pt1 0.000 0.500 0.262
Pt2 0.000 0.500 0.738
Pt3 0.500 0.000 0.262
Pt4 0.500 0.000 0.738
Pt5 0.500 0.500 0.000
Pt6 0.500 0.500 0.500

Properties
Raw total energy in eV per atom: -6.1141
Crystal system: tetragonal
D(E_F) in states/eV/atom: 1.004
V in A^3/atom: 16.51